1.
Density functional theory data (PBE-GGA) for an optimized crystal structure of BeTl2Rh.

The structure in POSCAR format:
```
BeTl2Rh
1.0
-1.036 -4.350 -1.658
-1.394 -3.429 3.007
-4.520 -1.520 -0.047
Be Tl Rh
1 2 1
Cartesian
-3.475 -4.649 0.651
0.000 0.000 0.000
-1.738 -2.325 0.325
-5.213 -6.974 0.976
```

D(E_F)   1.49 states/eV/cell
ΔH_f (0 K)   0.601 eV per atom
Symmetry   No. 216

---

2.
Density functional theory data (PBE-GGA) for an optimized crystal structure of Be2TlRh.

The structure in POSCAR format:
```
Be2TlRh
1.0
3.562 0.000 0.000
0.000 2.870 0.006
0.000 -0.025 5.878
Be Tl Rh
2 1 1
Cartesian
0.000 2.867 0.472
1.781 -0.005 1.726
1.781 2.845 4.392
0.000 1.430 2.242
```

D(E_F)   1.86 states/eV/cell
ΔH_f (0 K)   0.058 eV per atom
Symmetry   No. 6

---

3.
Density functional theory data (PBE-GGA) for an optimized crystal structure of Be2TlRh2.

The structure in POSCAR format:
```
Be2TlRh2
1.0
-3.039 -0.161 -5.954
-0.795 -6.613 0.584
-2.590 0.427 1.311
Be Tl Rh
4 2 4
Cartesian
-1.856 -5.884 -1.750
-3.168 -4.239 -4.880
-1.978 -0.890 -3.619
-0.666 -2.535 -0.490
0.000 0.000 0.000
-1.917 -3.387 -2.685
-2.315 -4.192 0.077
-3.974 -5.433 -2.798
-4.110 -2.155 -4.135
-2.451 -0.914 -1.261
```

D(E_F)   4.73 states/eV/cell
ΔH_f (0 K)   -0.238 eV per atom
Symmetry   No. 127

---

4.
Density functional theory data (PBE-GGA) for an optimized crystal structure of BeTl2Rh.

The structure in POSCAR format:
```
BeTl2Rh
1.0
5.265 -0.009 0.000
2.124 4.817 0.000
-3.694 -2.404 2.879
Be Tl Rh
1 2 1
Cartesian
3.694 2.404 0.000
0.000 0.000 0.000
1.062 2.408 1.439
2.632 -0.004 1.439
```

D(E_F)   1.28 states/eV/cell
ΔH_f (0 K)   0.448 eV per atom
Symmetry   No. 119

---

5.
Density functional theory data (PBE-GGA) for an optimized crystal structure of BeTl4Rh.

The structure in POSCAR format:
```
BeTl4Rh
1.0
0.000 4.314 4.314
4.314 0.000 4.314
4.314 4.314 0.000
Be Tl Rh
1 4 1
Cartesian
6.472 6.472 6.472
3.234 5.395 5.395
5.395 5.395 3.234
5.395 3.234 5.395
3.234 3.234 3.234
0.000 0.000 0.000
```

D(E_F)   5.19 states/eV/cell
ΔH_f (0 K)   0.986 eV per atom
Symmetry   No. 216

---

6.
Density functional theory data (PBE-GGA) for an optimized crystal structure of BeTl2Rh.

The structure in POSCAR format:
```
BeTl2Rh
1.0
-0.408 -0.885 2.957
1.870 -2.443 -0.473
6.626 4.628 2.298
Be Tl Rh
1 2 1
Cartesian
3.899 2.723 1.352
6.188 4.322 2.146
2.785 -0.229 1.954
5.157 1.427 2.776
```

D(E_F)   2.44 states/eV/cell
ΔH_f (0 K)   0.034 eV per atom
Symmetry   No. 99

---

7.
Density functional theory data (PBE-GGA) for an optimized crystal structure of BeTl2Rh.

The structure in POSCAR format:
```
BeTl2Rh
1.0
-6.229 1.328 -0.680
-6.051 -1.714 -1.213
-2.227 -0.798 3.812
Be Tl Rh
1 2 1
Cartesian
-7.879 -0.568 0.613
-12.077 -0.395 -1.776
-10.971 -0.883 1.381
-3.112 -0.316 0.769
```

D(E_F)   0.94 states/eV/cell
ΔH_f (0 K)   0.194 eV per atom
Symmetry   No. 8

---

8.
Density functional theory data (PBE-GGA) for an optimized crystal structure of Be2TlRh.

The structure in POSCAR format:
```
Be2TlRh
1.0
5.134 -0.006 0.007
2.667 4.388 -0.007
-3.840 -2.298 2.517
Be Tl Rh
2 1 1
Cartesian
0.146 0.082 0.000
2.068 -0.354 1.262
1.555 2.248 1.255
4.092 2.298 0.000
```

D(E_F)   1.17 states/eV/cell
ΔH_f (0 K)   0.114 eV per atom
Symmetry   No. 44

---

9.
Density functional theory data (PBE-GGA) for an optimized crystal structure of TmBeRh2.

The structure in POSCAR format:
```
TmBeRh2
1.0
3.122 0.000 0.000
0.000 3.122 0.000
0.000 0.000 6.180
Be Tm Rh
1 1 2
Cartesian
1.561 1.561 0.000
1.561 1.561 3.090
0.000 0.000 4.867
0.000 0.000 1.312
```

D(E_F)   1.21 states/eV/cell
ΔH_f (0 K)   -0.633 eV per atom
Symmetry   No. 123

---

10.
Density functional theory data (PBE-GGA) for an optimized crystal structure of TmBe2Rh.

The structure in POSCAR format:
```
TmBe2Rh
1.0
3.841 0.000 0.000
1.920 3.326 0.000
1.920 1.109 4.764
Be Tm Rh
2 1 1
Cartesian
5.761 3.326 2.834
1.920 1.109 1.930
0.000 0.000 0.000
3.841 2.217 2.382
```

D(E_F)   2.53 states/eV/cell
ΔH_f (0 K)   -0.467 eV per atom
Symmetry   No. 166

---

11.
Density functional theory data (PBE-GGA) for an optimized crystal structure of TmBeRh2.

The structure in POSCAR format:
```
TmBeRh2
1.0
-1.456 1.109 -2.872
2.750 -2.259 -2.266
-2.643 -3.288 0.070
Be Tm Rh
1 1 2
Cartesian
-0.728 0.555 -1.436
-0.674 -2.219 -2.534
-1.321 -1.644 0.035
1.375 -1.129 -1.133
```

D(E_F)   1.89 states/eV/cell
ΔH_f (0 K)   -0.599 eV per atom
Symmetry   No. 123

---

12.
Density functional theory data (PBE-GGA) for an optimized crystal structure of Tm3Be2Rh5.

The structure in POSCAR format:
```
Tm3Be2Rh5
1.0
3.343 0.000 0.000
0.000 9.729 0.000
0.000 0.000 9.729
Tm Be Rh
6 4 10
Cartesian
0.000 3.166 8.030
0.000 6.564 1.699
0.000 1.699 3.166
0.000 8.030 6.564
0.000 0.000 0.000
0.000 4.865 4.865
0.000 1.163 6.028
0.000 8.566 3.701
0.000 3.701 1.163
0.000 6.028 8.566
1.672 2.144 0.697
1.672 7.586 9.033
1.672 9.033 2.144
1.672 0.697 7.586
1.672 2.721 5.561
1.672 7.008 4.168
1.672 5.561 7.008
1.672 4.168 2.721
1.672 0.000 4.865
1.672 4.865 0.000
```

D(E_F)   11.37 states/eV/cell
ΔH_f (0 K)   -0.872 eV per atom
Symmetry   No. 127

---

13.
Density functional theory data (PBE-GGA) for an optimized crystal structure of TmBe17Rh.

The structure in POSCAR format:
```
TmBe17Rh
1.0
5.590 -0.003 0.657
0.584 5.559 0.657
-0.003 -0.003 5.628
Tm Be Rh
1 17 1
Cartesian
4.053 3.648 4.559
1.621 0.043 4.156
4.103 1.607 0.698
0.456 3.911 2.096
2.029 3.911 0.698
0.213 1.607 4.156
3.938 0.043 2.096
2.416 4.831 2.718
2.107 1.896 5.341
5.058 1.896 2.718
3.717 0.913 4.182
4.001 3.601 1.779
1.298 3.601 4.182
5.839 2.825 6.568
6.122 5.510 4.168
3.422 5.510 6.568
5.590 5.032 6.289
0.622 0.560 0.700
2.023 1.821 2.276
```

D(E_F)   4.57 states/eV/cell
ΔH_f (0 K)   -0.143 eV per atom
Symmetry   No. 160

---

14.
Density functional theory data (PBE-GGA) for an optimized crystal structure of TmBe2Rh2.

The structure in POSCAR format:
```
TmBe2Rh2
1.0
3.842 0.000 -1.532
-0.611 3.793 -1.532
-0.172 -0.202 5.150
Tm Be Rh
1 2 2
Cartesian
0.000 0.000 0.000
2.024 2.377 -0.507
1.034 1.214 2.593
2.642 0.847 1.043
0.416 2.744 1.043
```

D(E_F)   1.66 states/eV/cell
ΔH_f (0 K)   -0.696 eV per atom
Symmetry   No. 139

---

15.
Density functional theory data (PBE-GGA) for an optimized crystal structure of YTmBeRh.

The structure in POSCAR format:
```
YTmBeRh
1.0
4.819 0.000 0.000
2.409 4.173 0.000
2.409 1.391 3.935
Y Be Tm Rh
1 1 1 1
Cartesian
7.228 4.173 2.951
0.000 0.000 0.000
2.409 1.391 0.984
4.819 2.782 1.967
```

D(E_F)   1.72 states/eV/cell
ΔH_f (0 K)   -0.400 eV per atom
Symmetry   No. 216

---

16.
Density functional theory data (PBE-GGA) for an optimized crystal structure of Tm2BeZnRh2.

The structure in POSCAR format:
```
Tm2BeZnRh2
1.0
5.532 0.000 0.000
0.000 5.675 0.000
-2.766 -2.838 6.729
Tm Be Zn Rh
4 2 2 4
Cartesian
2.766 4.406 2.287
0.000 1.269 2.287
2.766 1.568 4.442
0.000 -1.568 4.442
4.149 2.838 0.000
1.383 2.838 0.000
1.383 0.000 0.000
4.149 0.000 0.000
0.000 1.142 5.209
2.766 1.696 1.520
0.000 3.979 1.520
2.766 -1.142 5.209
```

D(E_F)   5.21 states/eV/cell
ΔH_f (0 K)   -0.667 eV per atom
Symmetry   No. 72

---

17.
Density functional theory data (PBE-GGA) for an optimized crystal structure of TmZr2Be2Rh5.

The structure in POSCAR format:
```
TmZr2Be2Rh5
1.0
-0.635 1.788 2.729
-0.140 -8.030 5.229
9.406 0.884 1.610
Tm Zr Be Rh
2 4 4 10
Cartesian
0.000 0.000 0.000
4.633 -3.573 3.420
1.542 -5.259 3.805
7.723 -1.887 3.034
3.041 -1.110 1.435
6.224 -6.037 5.404
5.816 -0.417 1.627
3.449 -6.730 5.212
8.189 -4.202 4.659
1.077 -2.944 2.180
0.336 -0.808 2.631
8.295 -4.551 6.937
7.010 0.999 3.001
3.600 -4.509 5.817
1.621 -6.358 6.567
5.030 -0.849 3.751
6.374 -3.069 5.519
2.257 -2.289 4.050
-0.388 -3.121 3.979
4.385 1.336 2.169
```

D(E_F)   9.89 states/eV/cell
ΔH_f (0 K)   -0.822 eV per atom
Symmetry   No. 127

---

18.
Density functional theory data (PBE-GGA) for an optimized crystal structure of UBeRh3.

The structure in POSCAR format:
```
UBeRh3
1.0
-3.982 -1.015 -1.058
1.377 -1.541 -3.706
0.502 -3.821 1.776
Rh U Be
3 1 1
Cartesian
0.689 -0.771 -1.853
0.251 -1.911 0.888
-1.991 -0.507 -0.529
-1.052 -3.189 -1.494
0.000 0.000 0.000
```

D(E_F)   6.76 states/eV/cell
ΔH_f (0 K)   -0.470 eV per atom
Symmetry   No. 221

---

19.
Density functional theory data (PBE-GGA) for an optimized crystal structure of UBeRh2.

The structure in POSCAR format:
```
UBeRh2
1.0
-0.028 2.895 -0.425
-2.924 -0.043 -0.094
-0.230 0.982 6.708
Rh U Be
2 1 1
Cartesian
-0.184 0.785 5.359
-0.046 0.198 1.349
-1.592 1.918 3.094
-1.476 1.426 -0.260
```

D(E_F)   2.78 states/eV/cell
ΔH_f (0 K)   -0.471 eV per atom
Symmetry   No. 123

---

20.
Density functional theory data (PBE-GGA) for an optimized crystal structure of UBeRh2.

The structure in POSCAR format:
```
UBeRh2
1.0
-2.580 1.055 -0.643
-2.354 -1.236 1.055
-1.273 4.871 6.742
Rh U Be
2 1 1
Cartesian
-4.637 3.760 5.690
-1.570 0.931 1.465
-3.104 2.345 3.577
0.000 0.000 0.000
```

D(E_F)   5.16 states/eV/cell
ΔH_f (0 K)   -0.202 eV per atom
Symmetry   No. 166